Record 1
Density functional theory data (GGA-PBE) for a relaxed Ce2CdHg4 crystal.

The value obtained for the formation energy is -21.76 kJ per mole of atoms.

The space group is R-3m (No. 166, hexagonal axes) and the conventional cell measures 5.1893, 5.1893 and 25.0612 Å, with angles of 90.00, 90.00 and 120.00 degrees. The inequivalent atoms are Ce at (0.0000, 0.0000, 0.2455), Cd at (0.0000, 0.0000, 0.5000), Hg at (0.0000, 0.0000, 0.1180) and Hg at (0.0000, 0.0000, 0.3714).


Record 2
Density functional theory data (GGA-PBE) for a relaxed MnZnIr2 crystal.

The value obtained for the formation energy is -9.69 kJ per mole of atoms.

The space group is Pmm2 (No. 25) and the conventional cell measures 2.753, 3.861 and 5.288 Å, with angles of 90.00, 90.00 and 90.00 degrees. The inequivalent atoms are Mn at (0.000, 0.000, 0.000), Zn at (0.500, 0.500, 0.260), Ir at (0.000, 0.000, 0.499) and Ir at (0.500, 0.500, 0.768).


Record 3
Density functional theory data (GGA-PBE) for a relaxed ZrTa2Ag crystal.

The value obtained for the formation energy is 22.65 kJ per mole of atoms.

The space group is P2/m (No. 10) and the conventional cell measures 2.794, 5.057 and 5.470 Å, with angles of 90.00, 97.78 and 90.00 degrees. The inequivalent atoms are Zr at (0.000, 0.000, 0.000), Ta at (0.273, 0.500, 0.758) and Ag at (0.500, 0.000, 0.500).


Record 4
Density functional theory data (GGA-PBE) for a relaxed Dy2PaNbC4 crystal.

The value obtained for the formation energy is -37.66 kJ per mole of atoms.

The space group is Imma (No. 74) and the conventional cell measures 6.901, 7.012 and 9.855 Å, with angles of 90.00, 90.00 and 90.00 degrees. The inequivalent atoms are Dy at (0.000, 0.000, 0.000), Dy at (0.250, 0.250, 0.250), Pa at (0.000, 0.000, 0.500), Nb at (0.250, 0.250, 0.750), C at (0.000, 0.023, 0.746) and C at (0.237, 0.250, 0.517).


Record 5
Density functional theory data (GGA-PBE) for a relaxed NiHg2P crystal.

The value obtained for the formation energy is 2.82 kJ per mole of atoms.

The space group is P4mm (No. 99) and the conventional cell measures 3.044, 3.044 and 8.666 Å, with angles of 90.00, 90.00 and 90.00 degrees. The inequivalent atoms are Ni at (0.000, 0.000, 0.000), Hg at (0.000, 0.000, 0.693), Hg at (0.500, 0.500, 0.397) and P at (0.500, 0.500, 0.086).


Record 6
Density functional theory data (GGA-PBE) for a relaxed HfTi7Bi2H2 crystal.

The space group is I4/mmm (No. 139) and the conventional cell measures 4.155, 4.155 and 23.100 Å, with angles of 90.00, 90.00 and 90.00 degrees. The inequivalent atoms are Hf at (0.000, 0.000, 0.000), Ti at (0.000, 0.000, 0.312), Ti at (0.000, 0.000, 0.500), Ti at (0.000, 0.500, 0.093), Bi at (0.000, 0.000, 0.187) and H at (0.000, 0.000, 0.403).


Number 1: calculated volume 584 Å³/cell, uncorrected energy -2.224 eV per atom. Number 2: calculated volume 56 Å³/cell, uncorrected energy -7.142 eV per atom. Number 3: calculated volume 77 Å³/cell, uncorrected energy -8.541 eV per atom. Number 4: calculated volume 477 Å³/cell, uncorrected energy -8.598 eV per atom. Number 5: calculated volume 80 Å³/cell, uncorrected energy -2.919 eV per atom. Number 6: calculated volume 399 Å³/cell, uncorrected energy -6.813 eV per atom.